# 1
First-principles (PBE) data for an optimized crystal structure of LaCdAgHg, as listed in Alexandria via LeMat-Bulk.

Output
The formation energy comes out at -0.369 eV/atom. The value obtained for the density of states at the Fermi level is 3.2 states/eV/f.u. Its total energy is -41.88 eV/cell. The value obtained for the spin magnetization is 0.000 μB/atom.

Cell and atoms, written as CIF:
```
data_LaCdAgHg
_chemical_formula_sum 'La4 Cd4 Ag4 Hg4'
_symmetry_space_group_name_H-M 'F -4 3 m'
_symmetry_Int_Tables_number 216
_symmetry_space_group_name_Hall 'F -4 2 3'
_cell_length_a 7.327
_cell_length_b 7.327
_cell_length_c 7.327
_cell_angle_alpha 90.00
_cell_angle_beta 90.00
_cell_angle_gamma 90.00
loop_
_atom_site_label
_atom_site_fract_x
_atom_site_fract_y
_atom_site_fract_z
La1 0.000 0.000 0.000
Cd1 0.000 0.000 0.500
Ag1 0.250 0.250 0.750
Hg1 0.250 0.250 0.250
```

# 2
First-principles (PBE) data for an optimized crystal structure of La4CdAgHg2, as listed in Alexandria via LeMat-Bulk.

Output
The formation energy comes out at -0.400 eV/atom. The value obtained for the density of states at the Fermi level is 8.9 states/eV/f.u. Its total energy is -81.83 eV/cell. The value obtained for the spin magnetization is 0.111 μB/atom.

Cell and atoms, written as CIF:
```
data_La4CdAgHg2
_chemical_formula_sum 'La12 Cd3 Ag3 Hg6'
_symmetry_space_group_name_H-M 'R -3 m'
_symmetry_Int_Tables_number 166
_symmetry_space_group_name_Hall '-R 3 2"'
_cell_length_a 5.5103
_cell_length_b 5.5103
_cell_length_c 26.9686
_cell_angle_alpha 90.00
_cell_angle_beta 90.00
_cell_angle_gamma 120.00
loop_
_atom_site_label
_atom_site_fract_x
_atom_site_fract_y
_atom_site_fract_z
La1 0.0000 0.0000 0.1215
La2 0.0000 0.0000 0.3720
Cd1 0.0000 0.0000 0.5000
Ag1 0.0000 0.0000 0.0000
Hg1 0.0000 0.0000 0.2457
```